1.
# Th2P4IrRh3 | Alexandria | PBE | optimized geometry
# Energy of formation = -1.111 eV per atom
# Space-group type = No. 115
# Density of states at the Fermi level = 4.90 states/eV per cell
# Crystal system = tetragonal
# Calculated total energy = -7.85 eV per atom
# Total magnetization = 0.2 μB per cell
data_Th2P4IrRh3
_cell_length_a 4.209
_cell_length_b 4.209
_cell_length_c 9.532
_cell_angle_alpha 90.00
_cell_angle_beta 90.00
_cell_angle_gamma 90.00
_space_group_name_H-M_alt 'P 1'
_space_group_IT_number 1
loop_
_space_group_symop_operation_xyz
'x,y,z'
loop_
_atom_site_label
_atom_site_type_symbol
_atom_site_fract_x
_atom_site_fract_y
_atom_site_fract_z
_atom_site_occupancy
Rh1 Rh 0.000 0.500 0.113 1
Rh2 Rh 0.000 0.000 0.500 1
Rh3 Rh 0.500 0.000 0.887 1
Th1 Th 0.000 0.500 0.755 1
Th2 Th 0.500 0.000 0.245 1
P1 P 0.500 0.500 0.000 1
P2 P 0.000 0.000 0.000 1
P3 P 0.500 0.000 0.638 1
P4 P 0.000 0.500 0.362 1
Ir1 Ir 0.500 0.500 0.500 1

2.
# ThP2Ir2Rh | Alexandria | PBE | optimized geometry
# Energy of formation = -0.806 eV per atom
# Space-group type = No. 164
# Density of states at the Fermi level = 2.15 states/eV per cell
# Crystal system = trigonal
# Calculated total energy = -8.03 eV per atom
# Total magnetization = 0.0 μB per cell
data_ThP2Ir2Rh
_cell_length_a 4.039
_cell_length_b 4.039
_cell_length_c 7.250
_cell_angle_alpha 90.00
_cell_angle_beta 90.00
_cell_angle_gamma 120.00
_space_group_name_H-M_alt 'P 1'
_space_group_IT_number 1
loop_
_space_group_symop_operation_xyz
'x,y,z'
loop_
_atom_site_label
_atom_site_type_symbol
_atom_site_fract_x
_atom_site_fract_y
_atom_site_fract_z
_atom_site_occupancy
Ir1 Ir 0.333 0.667 0.724 1
Ir2 Ir 0.667 0.333 0.276 1
Th1 Th 0.000 0.000 0.000 1
P1 P 0.667 0.333 0.693 1
P2 P 0.333 0.667 0.307 1
Rh1 Rh 0.000 0.000 0.500 1

3.
# Th2P3IrRh12 | Alexandria | PBE | optimized geometry
# Energy of formation = -0.233 eV per atom
# Space-group type = No. 166
# Density of states at the Fermi level = 16.20 states/eV per cell
# Crystal system = trigonal
# Calculated total energy = -7.35 eV per atom
# Total magnetization = 0.6 μB per cell
data_Th2P3IrRh12
_cell_length_a 7.040
_cell_length_b 7.040
_cell_length_c 7.040
_cell_angle_alpha 73.85
_cell_angle_beta 73.85
_cell_angle_gamma 73.85
_space_group_name_H-M_alt 'P 1'
_space_group_IT_number 1
loop_
_space_group_symop_operation_xyz
'x,y,z'
loop_
_atom_site_label
_atom_site_type_symbol
_atom_site_fract_x
_atom_site_fract_y
_atom_site_fract_z
_atom_site_occupancy
Ir1 Ir 0.000 0.000 0.000 1
Rh1 Rh 0.666 0.666 0.090 1
Rh2 Rh 0.152 0.633 0.152 1
Rh3 Rh 0.633 0.152 0.152 1
Rh4 Rh 0.910 0.334 0.334 1
Rh5 Rh 0.666 0.090 0.666 1
Rh6 Rh 0.848 0.367 0.848 1
Rh7 Rh 0.152 0.152 0.633 1
Rh8 Rh 0.090 0.666 0.666 1
Rh9 Rh 0.334 0.334 0.910 1
Rh10 Rh 0.367 0.848 0.848 1
Rh11 Rh 0.334 0.910 0.334 1
Rh12 Rh 0.848 0.848 0.367 1
P1 P 0.500 0.000 0.000 1
P2 P 0.000 0.500 0.000 1
P3 P 0.000 0.000 0.500 1
Th1 Th 0.390 0.390 0.390 1
Th2 Th 0.610 0.610 0.610 1

4.
# Th2P3IrRh4 | Alexandria | PBE | optimized geometry
# Energy of formation = -0.927 eV per atom
# Space-group type = No. 115
# Density of states at the Fermi level = 5.67 states/eV per cell
# Crystal system = tetragonal
# Calculated total energy = -7.86 eV per atom
# Total magnetization = 0.0 μB per cell
data_Th2P3IrRh4
_cell_length_a 3.973
_cell_length_b 3.973
_cell_length_c 10.943
_cell_angle_alpha 90.00
_cell_angle_beta 90.00
_cell_angle_gamma 90.00
_space_group_name_H-M_alt 'P 1'
_space_group_IT_number 1
loop_
_space_group_symop_operation_xyz
'x,y,z'
loop_
_atom_site_label
_atom_site_type_symbol
_atom_site_fract_x
_atom_site_fract_y
_atom_site_fract_z
_atom_site_occupancy
P1 P 0.000 0.000 0.500 1
P2 P 0.500 0.000 0.878 1
P3 P 0.000 0.500 0.122 1
Rh1 Rh 0.500 0.000 0.671 1
Rh2 Rh 0.000 0.000 0.000 1
Rh3 Rh 0.000 0.500 0.329 1
Rh4 Rh 0.500 0.500 0.000 1
Ir1 Ir 0.500 0.500 0.500 1
Th1 Th 0.500 0.000 0.262 1
Th2 Th 0.000 0.500 0.738 1

5.
# ThP2IrRh5 | Alexandria | PBE | optimized geometry
# Energy of formation = -0.265 eV per atom
# Space-group type = No. 123
# Density of states at the Fermi level = 8.76 states/eV per cell
# Crystal system = tetragonal
# Calculated total energy = -7.36 eV per atom
# Total magnetization = 0.0 μB per cell
data_ThP2IrRh5
_cell_length_a 3.989
_cell_length_b 3.989
_cell_length_c 10.339
_cell_angle_alpha 90.00
_cell_angle_beta 90.00
_cell_angle_gamma 90.00
_space_group_name_H-M_alt 'P 1'
_space_group_IT_number 1
loop_
_space_group_symop_operation_xyz
'x,y,z'
loop_
_atom_site_label
_atom_site_type_symbol
_atom_site_fract_x
_atom_site_fract_y
_atom_site_fract_z
_atom_site_occupancy
P1 P 0.000 0.000 0.720 1
P2 P 0.000 0.000 0.280 1
Rh1 Rh 0.000 0.500 0.168 1
Rh2 Rh 0.500 0.000 0.832 1
Rh3 Rh 0.500 0.000 0.168 1
Rh4 Rh 0.000 0.000 0.500 1
Rh5 Rh 0.000 0.500 0.832 1
Th1 Th 0.500 0.500 0.500 1
Ir1 Ir 0.000 0.000 0.000 1

6.
# Th2P4Ir3Rh | Alexandria | PBE | optimized geometry
# Energy of formation = -1.091 eV per atom
# Space-group type = No. 115
# Density of states at the Fermi level = 4.08 states/eV per cell
# Crystal system = tetragonal
# Calculated total energy = -8.13 eV per atom
# Total magnetization = 0.3 μB per cell
data_Th2P4Ir3Rh
_cell_length_a 4.229
_cell_length_b 4.229
_cell_length_c 9.517
_cell_angle_alpha 90.00
_cell_angle_beta 90.00
_cell_angle_gamma 90.00
_space_group_name_H-M_alt 'P 1'
_space_group_IT_number 1
loop_
_space_group_symop_operation_xyz
'x,y,z'
loop_
_atom_site_label
_atom_site_type_symbol
_atom_site_fract_x
_atom_site_fract_y
_atom_site_fract_z
_atom_site_occupancy
Rh1 Rh 0.500 0.500 0.500 1
Th1 Th 0.500 0.000 0.246 1
Th2 Th 0.000 0.500 0.754 1
P1 P 0.000 0.500 0.362 1
P2 P 0.500 0.000 0.638 1
P3 P 0.500 0.500 0.000 1
P4 P 0.000 0.000 0.000 1
Ir1 Ir 0.000 0.500 0.111 1
Ir2 Ir 0.000 0.000 0.500 1
Ir3 Ir 0.500 0.000 0.889 1

7.
# Tm3P2IrRh9 | Alexandria | PBE | optimized geometry
# Energy of formation = -0.477 eV per atom
# Space-group type = No. 164
# Density of states at the Fermi level = 13.18 states/eV per cell
# Crystal system = trigonal
# Calculated total energy = -7.09 eV per atom
# Total magnetization = 0.0 μB per cell
data_Tm3P2IrRh9
_cell_length_a 5.716
_cell_length_b 5.716
_cell_length_c 9.697
_cell_angle_alpha 90.00
_cell_angle_beta 90.00
_cell_angle_gamma 120.00
_space_group_name_H-M_alt 'P 1'
_space_group_IT_number 1
loop_
_space_group_symop_operation_xyz
'x,y,z'
loop_
_atom_site_label
_atom_site_type_symbol
_atom_site_fract_x
_atom_site_fract_y
_atom_site_fract_z
_atom_site_occupancy
Rh1 Rh 0.689 0.845 0.288 1
Rh2 Rh 0.500 0.000 0.000 1
Rh3 Rh 0.155 0.845 0.288 1
Rh4 Rh 0.000 0.500 0.000 1
Rh5 Rh 0.845 0.689 0.712 1
Rh6 Rh 0.155 0.311 0.288 1
Rh7 Rh 0.311 0.155 0.712 1
Rh8 Rh 0.845 0.155 0.712 1
Rh9 Rh 0.500 0.500 0.000 1
P1 P 0.667 0.333 0.844 1
P2 P 0.333 0.667 0.156 1
Ir1 Ir 0.000 0.000 0.500 1
Tm1 Tm 0.000 0.000 0.000 1
Tm2 Tm 0.333 0.667 0.590 1
Tm3 Tm 0.667 0.333 0.410 1

8.
# TmPIrRh | Alexandria | PBE | optimized geometry
# Energy of formation = -0.598 eV per atom
# Space-group type = No. 47
# Density of states at the Fermi level = 3.15 states/eV per cell
# Crystal system = orthorhombic
# Calculated total energy = -7.12 eV per atom
# Total magnetization = 0.0 μB per cell
data_TmPIrRh
_cell_length_a 3.902
_cell_length_b 4.470
_cell_length_c 4.487
_cell_angle_alpha 90.00
_cell_angle_beta 90.00
_cell_angle_gamma 90.00
_space_group_name_H-M_alt 'P 1'
_space_group_IT_number 1
loop_
_space_group_symop_operation_xyz
'x,y,z'
loop_
_atom_site_label
_atom_site_type_symbol
_atom_site_fract_x
_atom_site_fract_y
_atom_site_fract_z
_atom_site_occupancy
P1 P 0.000 0.000 0.000 1
Ir1 Ir 0.000 0.500 0.000 1
Rh1 Rh 0.000 0.000 0.500 1
Tm1 Tm 0.500 0.500 0.500 1

9.
# TmP2IrRh2 | Alexandria | PBE | optimized geometry
# Energy of formation = -0.229 eV per atom
# Space-group type = No. 123
# Density of states at the Fermi level = 2.19 states/eV per cell
# Crystal system = tetragonal
# Calculated total energy = -6.71 eV per atom
# Total magnetization = 0.0 μB per cell
data_TmP2IrRh2
_cell_length_a 4.469
_cell_length_b 4.469
_cell_length_c 5.455
_cell_angle_alpha 90.00
_cell_angle_beta 90.00
_cell_angle_gamma 90.00
_space_group_name_H-M_alt 'P 1'
_space_group_IT_number 1
loop_
_space_group_symop_operation_xyz
'x,y,z'
loop_
_atom_site_label
_atom_site_type_symbol
_atom_site_fract_x
_atom_site_fract_y
_atom_site_fract_z
_atom_site_occupancy
P1 P 0.000 0.500 0.000 1
P2 P 0.500 0.000 0.000 1
Ir1 Ir 0.000 0.000 0.000 1
Rh1 Rh 0.500 0.500 0.747 1
Rh2 Rh 0.500 0.500 0.253 1
Tm1 Tm 0.000 0.000 0.500 1

10.
# UP2Ir2Rh | Alexandria | PBE | optimized geometry
# Energy of formation = -0.498 eV per atom
# Space-group type = No. 26
# Density of states at the Fermi level = 14.56 states/eV per cell
# Crystal system = orthorhombic
# Calculated total energy = -8.36 eV per atom
# Total magnetization = 4.7 μB per cell
data_UP2Ir2Rh
_cell_length_a 3.872
_cell_length_b 6.266
_cell_length_c 7.827
_cell_angle_alpha 90.00
_cell_angle_beta 90.00
_cell_angle_gamma 90.00
_space_group_name_H-M_alt 'P 1'
_space_group_IT_number 1
loop_
_space_group_symop_operation_xyz
'x,y,z'
loop_
_atom_site_label
_atom_site_type_symbol
_atom_site_fract_x
_atom_site_fract_y
_atom_site_fract_z
_atom_site_occupancy
Rh1 Rh 0.500 0.136 0.733 1
Rh2 Rh 0.500 0.636 0.267 1
P1 P 0.500 0.271 0.322 1
P2 P 0.000 0.767 0.138 1
P3 P 0.000 0.267 0.862 1
P4 P 0.500 0.771 0.678 1
Ir1 Ir 0.500 0.526 0.897 1
Ir2 Ir 0.000 0.859 0.855 1
Ir3 Ir 0.500 0.026 0.103 1
Ir4 Ir 0.000 0.359 0.145 1
U1 U 0.000 0.987 0.449 1
U2 U 0.000 0.487 0.551 1

11.
# Y2P4IrRh3 | Alexandria | PBE | optimized geometry
# Energy of formation = -1.047 eV per atom
# Space-group type = No. 115
# Density of states at the Fermi level = 3.94 states/eV per cell
# Crystal system = tetragonal
# Calculated total energy = -7.60 eV per atom
# Total magnetization = 0.0 μB per cell
data_Y2P4IrRh3
_cell_length_a 4.110
_cell_length_b 4.110
_cell_length_c 9.559
_cell_angle_alpha 90.00
_cell_angle_beta 90.00
_cell_angle_gamma 90.00
_space_group_name_H-M_alt 'P 1'
_space_group_IT_number 1
loop_
_space_group_symop_operation_xyz
'x,y,z'
loop_
_atom_site_label
_atom_site_type_symbol
_atom_site_fract_x
_atom_site_fract_y
_atom_site_fract_z
_atom_site_occupancy
P1 P 0.500 0.500 0.000 1
P2 P 0.500 0.000 0.640 1
P3 P 0.000 0.000 0.000 1
P4 P 0.000 0.500 0.360 1
Rh1 Rh 0.000 0.000 0.500 1
Rh2 Rh 0.000 0.500 0.116 1
Rh3 Rh 0.500 0.000 0.884 1
Ir1 Ir 0.500 0.500 0.500 1
Y1 Y 0.500 0.000 0.242 1
Y2 Y 0.000 0.500 0.758 1

12.
# Y2P4Ir3Rh | Alexandria | PBE | optimized geometry
# Energy of formation = -1.017 eV per atom
# Space-group type = No. 115
# Density of states at the Fermi level = 3.97 states/eV per cell
# Crystal system = tetragonal
# Calculated total energy = -7.87 eV per atom
# Total magnetization = 0.0 μB per cell
data_Y2P4Ir3Rh
_cell_length_a 4.143
_cell_length_b 4.143
_cell_length_c 9.514
_cell_angle_alpha 90.00
_cell_angle_beta 90.00
_cell_angle_gamma 90.00
_space_group_name_H-M_alt 'P 1'
_space_group_IT_number 1
loop_
_space_group_symop_operation_xyz
'x,y,z'
loop_
_atom_site_label
_atom_site_type_symbol
_atom_site_fract_x
_atom_site_fract_y
_atom_site_fract_z
_atom_site_occupancy
Ir1 Ir 0.500 0.000 0.885 1
Ir2 Ir 0.000 0.000 0.500 1
Ir3 Ir 0.000 0.500 0.115 1
P1 P 0.500 0.000 0.640 1
P2 P 0.000 0.500 0.360 1
P3 P 0.500 0.500 0.000 1
P4 P 0.000 0.000 0.000 1
Y1 Y 0.000 0.500 0.758 1
Y2 Y 0.500 0.000 0.242 1
Rh1 Rh 0.500 0.500 0.500 1

Question: Which formula does entry 12 have?
Answer: Y2P4Ir3Rh